Material: Rb2IrBr
Method: DFT, PBE
State: relaxed

ΔE_f (raw) = 269 meV per atom
Space-group type = No. 122
Density of states at the Fermi level = 0.00 states/eV/f.u.
Calculated volume = 49.25 Å³/atom

Cell lengths 8.000, 8.000, 8.000 Å; angles 110.23, 110.23, 107.96 degrees
Atoms (fractional coordinates):
Rb 0.107 0.625 0.982
Rb 0.375 0.357 0.482
Rb 0.643 0.125 0.018
Rb 0.875 0.893 0.518
Ir 0.250 0.750 0.500
Ir 0.500 0.500 0.000
Br 0.000 0.000 0.000
Br 0.750 0.250 0.500